Record 1
VASP calculation (PBE) on a relaxed SmYAlGa crystal.

The calculation puts the polymorph energy (0 for the lowest one) at 0 meV per atom. The value obtained for the formation enthalpy at 0 K is -0.52 eV/atom. The value obtained for the total magnetization is 0.00 μB/f.u. For the final energy, the calculation gives -20.03 eV per formula unit.

The structure belongs to space group Amm2 (No. 38); the cell edges are 4.115, 4.449 and 11.165 Å and the angles 90.00°, 90.00° and 90.00°. The inequivalent atoms are Sm at (0.000, 0.000, 0.000), Y at (0.500, 0.000, 0.281), Al at (0.000, 0.000, 0.712) and Ga at (0.500, 0.000, 0.566).

Record 2
VASP calculation (PBE) on a relaxed SrLi2AlAg4 crystal.

The value obtained for the formation enthalpy at 0 K is -0.20 eV/atom. The value obtained for the total magnetization is 0.00 μB/f.u. For the final energy, the calculation gives -22.25 eV per formula unit.

The structure belongs to space group R-3m (No. 166, hexagonal axes); the cell edges are 4.5609, 4.5609 and 27.6788 Å and the angles 90.00°, 90.00° and 120.00°. The inequivalent atoms are Sr at (0.0000, 0.0000, 0.0000), Li at (0.0000, 0.0000, 0.2323), Al at (0.0000, 0.0000, 0.5000), Ag at (0.0000, 0.0000, 0.1328) and Ag at (0.0000, 0.0000, 0.4068).

Record 3
VASP calculation (PBE) on a relaxed Pr2Ho2S3 crystal.

For the energy relative to the elements, uncorrected, the calculation gives -1.71 eV per atom. The value obtained for the total magnetization is 0.00 μB/f.u. For the final energy, the calculation gives -43.05 eV per formula unit.

The structure belongs to space group P-1 (No. 2); the cell edges are 3.897, 6.802 and 6.960 Å and the angles 98.65°, 90.00° and 106.59°. The inequivalent atoms are Pr at (0.125, 0.247, 0.384), Ho at (0.372, 0.744, 0.112), S at (0.000, 0.000, 0.000) and S at (0.248, 0.497, 0.765).

Record 4
VASP calculation (PBE) on a relaxed Y2NiPtC crystal.

The value obtained for the formation enthalpy at 0 K is -0.67 eV/atom. The value obtained for the total magnetization is 0.00 μB/f.u. For the final energy, the calculation gives -37.34 eV per formula unit.

The structure belongs to space group P4/mmm (No. 123); the cell edges are 4.970, 4.970 and 3.635 Å and the angles 90.00°, 90.00° and 90.00°. The inequivalent atoms are Y at (0.000, 0.500, 0.000), Ni at (0.000, 0.000, 0.500), Pt at (0.500, 0.500, 0.500) and C at (0.000, 0.000, 0.000).

Record 5
VASP calculation (PBE) on a relaxed PuPaFeTc crystal.

The value obtained for the formation enthalpy at 0 K is 0.00 eV/atom. The value obtained for the total magnetization is 3.55 μB/f.u. For the final energy, the calculation gives -42.64 eV per formula unit.

The structure belongs to space group F-43m (No. 216); the cell edges are 6.743, 6.743 and 6.743 Å and the angles 90.00°, 90.00° and 90.00°. The inequivalent atoms are Pu at (0.000, 0.000, 0.000), Pa at (0.000, 0.000, 0.500), Fe at (0.250, 0.250, 0.750) and Tc at (0.250, 0.250, 0.250).

Record 6
VASP calculation (PBE) on a relaxed Cd2MoOs crystal.

The calculation puts the polymorph energy (0 for the lowest one) at 399 meV per atom. The value obtained for the formation enthalpy at 0 K is 0.59 eV/atom. The value obtained for the total magnetization is 0.00 μB/f.u. For the final energy, the calculation gives -21.53 eV per formula unit.

The structure belongs to space group Pmmm (No. 47); the cell edges are 3.200, 4.484 and 4.848 Å and the angles 90.00°, 90.00° and 90.00°. The inequivalent atoms are Cd at (0.000, 0.000, 0.000), Cd at (0.500, 0.500, 0.000), Mo at (0.000, 0.500, 0.500) and Os at (0.500, 0.000, 0.500).

Record 7
VASP calculation (PBE) on a relaxed TaTl2Br8 crystal.

For the energy relative to the elements, uncorrected, the calculation gives -0.76 eV per atom. The value obtained for the total magnetization is 0.00 μB/f.u. For the final energy, the calculation gives -38.33 eV per formula unit.

The structure belongs to space group C2/m (No. 12); the cell edges are 13.591, 10.120 and 6.125 Å and the angles 90.00°, 95.08° and 90.00°. The inequivalent atoms are Ta at (0.000, 0.000, 0.000), Tl at (0.111, 0.500, 0.788), Br at (0.081, 0.175, 0.780), Br at (0.117, 0.500, 0.285) and Br at (0.149, 0.000, 0.279).

Record 8
VASP calculation (PBE) on a relaxed CaGa3Pb2Au12 crystal.

The value obtained for the formation enthalpy at 0 K is -0.02 eV/atom. The value obtained for the total magnetization is 0.00 μB/f.u. For the final energy, the calculation gives -58.19 eV per formula unit.

The structure belongs to space group R-3m (No. 166, hexagonal axes); the cell edges are 8.9127, 8.9127 and 18.0504 Å and the angles 90.00°, 90.00° and 120.00°. The inequivalent atoms are Ca at (0.0000, 0.0000, 0.0000), Ga at (0.0000, 0.5000, 0.5000), Pb at (0.0000, 0.0000, 0.4116), Au at (0.0330, 0.5165, 0.8809) and Au at (0.0346, 0.5173, 0.3559).

Record 9
VASP calculation (PBE) on a relaxed RbCeMg6O8 crystal.

For the energy relative to the elements, uncorrected, the calculation gives -2.15 eV per atom. The calculation puts the polymorph energy (0 for the lowest one) at 99 meV per atom. The value obtained for the total magnetization is 0.63 μB/f.u. For the final energy, the calculation gives -90.57 eV per formula unit.

The structure belongs to space group P4/mmm (No. 123); the cell edges are 4.728, 4.728 and 9.215 Å and the angles 90.00°, 90.00° and 90.00°. The inequivalent atoms are Rb at (0.000, 0.000, 0.000), Ce at (0.000, 0.000, 0.500), Mg at (0.000, 0.500, 0.227), Mg at (0.500, 0.500, 0.000), Mg at (0.500, 0.500, 0.500), O at (0.000, 0.000, 0.266), O at (0.000, 0.500, 0.000), O at (0.000, 0.500, 0.500) and O at (0.500, 0.500, 0.246).

Record 10
VASP calculation (PBE) on a relaxed Li2PuScTe4 crystal.

For the energy relative to the elements, uncorrected, the calculation gives -1.08 eV per atom. The value obtained for the total magnetization is 5.00 μB/f.u. For the final energy, the calculation gives -45.68 eV per formula unit.

The structure belongs to space group P2/m (No. 10); the cell edges are 7.410, 4.286 and 7.426 Å and the angles 90.00°, 109.55° and 90.00°. The inequivalent atoms are Li at (0.000, 0.000, 0.000), Li at (0.000, 0.500, 0.500), Pu at (0.500, 0.000, 0.500), Sc at (0.500, 0.500, 0.000), Te at (0.246, 0.500, 0.235) and Te at (0.253, 0.000, 0.764).

Record 11
VASP calculation (PBE) on a relaxed UFe3B2 crystal.

The value obtained for the formation enthalpy at 0 K is -0.42 eV/atom. The value obtained for the total magnetization is 0.00 μB/f.u. For the final energy, the calculation gives -52.56 eV per formula unit.

The structure belongs to space group P6/mmm (No. 191); the cell edges are 5.0987, 5.0987 and 2.8286 Å and the angles 90.00°, 90.00° and 120.00°. The inequivalent atoms are U at (0.0000, 0.0000, 0.0000), Fe at (0.0000, 0.5000, 0.5000) and B at (0.3333, 0.6667, 0.0000).

Record 12
VASP calculation (PBE) on a relaxed BAs3I crystal.

For the energy relative to the elements, uncorrected, the calculation gives 0.90 eV per atom. The calculation puts the polymorph energy (0 for the lowest one) at 0 meV per atom. The value obtained for the total magnetization is 0.00 μB/f.u. For the final energy, the calculation gives -17.68 eV per formula unit.

The structure belongs to space group Pm-3m (No. 221); the cell edges are 4.605, 4.605 and 4.605 Å and the angles 90.00°, 90.00° and 90.00°. The inequivalent atoms are B at (0.000, 0.000, 0.000), As at (0.000, 0.000, 0.500) and I at (0.500, 0.500, 0.500).

Record 13
VASP calculation (PBE) on a relaxed Pm6Nd2Ho3Tl crystal.

The value obtained for the formation enthalpy at 0 K is -0.03 eV/atom. The value obtained for the total magnetization is 0.00 μB/f.u. For the final energy, the calculation gives -54.47 eV per formula unit.

The structure belongs to space group C2/m (No. 12); the cell edges are 6.195, 10.751 and 11.887 Å and the angles 90.00°, 100.07° and 90.00°. The inequivalent atoms are Pm at (0.243, 0.000, 0.247), Pm at (0.247, 0.163, 0.752), Nd at (0.000, 0.334, 0.500), Ho at (0.000, 0.167, 0.000), Ho at (0.000, 0.500, 0.000) and Tl at (0.000, 0.000, 0.500).

Record 14
VASP calculation (PBE) on a relaxed HgSbN2 crystal.

For the energy relative to the elements, uncorrected, the calculation gives 1.69 eV per atom. The calculation puts the polymorph energy (0 for the lowest one) at 1559 meV per atom. The value obtained for the total magnetization is 1.11 μB/f.u. For the final energy, the calculation gives -14.32 eV per formula unit.

The structure belongs to space group Fm-3m (No. 225); the cell edges are 6.142, 6.142 and 6.142 Å and the angles 90.00°, 90.00° and 90.00°. The inequivalent atoms are Hg at (0.000, 0.000, 0.000), Sb at (0.000, 0.000, 0.500) and N at (0.250, 0.250, 0.250).

Record 15
VASP calculation (PBE) on a relaxed TbGdFePd crystal.

The value obtained for the formation enthalpy at 0 K is -0.29 eV/atom. The value obtained for the total magnetization is 6.24 μB/f.u. For the final energy, the calculation gives -33.52 eV per formula unit.

The structure belongs to space group F-43m (No. 216); the cell edges are 6.929, 6.929 and 6.929 Å and the angles 90.00°, 90.00° and 90.00°. The inequivalent atoms are Tb at (0.000, 0.000, 0.000), Gd at (0.000, 0.000, 0.500), Fe at (0.250, 0.250, 0.750) and Pd at (0.250, 0.250, 0.250).

Record 16
VASP calculation (PBE) on a relaxed Ti2Cl2O crystal.

For the energy relative to the elements, uncorrected, the calculation gives -1.80 eV per atom. The value obtained for the total magnetization is 0.00 μB/f.u. For the final energy, the calculation gives -33.46 eV per formula unit.

The structure belongs to space group C2/m (No. 12); the cell edges are 5.761, 3.334 and 9.318 Å and the angles 90.00°, 104.17° and 90.00°. The inequivalent atoms are Ti at (0.125, 0.000, 0.395), Cl at (0.219, 0.500, 0.212) and O at (0.000, 0.500, 0.500).

Record 17
VASP calculation (PBE) on a relaxed NaMg3Ga3 crystal.

The value obtained for the formation enthalpy at 0 K is 0.33 eV/atom. The value obtained for the total magnetization is 0.00 μB/f.u. For the final energy, the calculation gives -12.86 eV per formula unit.

The structure belongs to space group Pm-3n (No. 223); the cell edges are 7.605, 7.605 and 7.605 Å and the angles 90.00°, 90.00° and 90.00°. The inequivalent atoms are Na at (0.000, 0.000, 0.000), Mg at (0.000, 0.250, 0.500) and Ga at (0.000, 0.500, 0.250).

Record 18
VASP calculation (PBE) on a relaxed Ba2ZrNiIr crystal.

The value obtained for the formation enthalpy at 0 K is 1.24 eV/atom. The value obtained for the total magnetization is 2.48 μB/f.u. For the final energy, the calculation gives -20.83 eV per formula unit.

The structure belongs to space group P4/mmm (No. 123); the cell edges are 6.150, 6.150 and 4.476 Å and the angles 90.00°, 90.00° and 90.00°. The inequivalent atoms are Ba at (0.000, 0.500, 0.000), Zr at (0.000, 0.000, 0.000), Ni at (0.000, 0.000, 0.500) and Ir at (0.500, 0.500, 0.500).

Record 19
VASP calculation (PBE) on a relaxed CrMo2Rh crystal.

The calculation puts the polymorph energy (0 for the lowest one) at 537 meV per atom. The value obtained for the formation enthalpy at 0 K is 0.61 eV/atom. The value obtained for the total magnetization is 2.62 μB/f.u. For the final energy, the calculation gives -36.18 eV per formula unit.

The structure belongs to space group I-42d (No. 122); the cell edges are 3.668, 3.668 and 18.994 Å and the angles 90.00°, 90.00° and 90.00°. The inequivalent atoms are Cr at (0.000, 0.000, 0.000), Mo at (0.237, 0.250, 0.125) and Rh at (0.000, 0.000, 0.500).

Record 20
VASP calculation (PBE) on a relaxed KBa2La crystal.

The calculation puts the polymorph energy (0 for the lowest one) at 195 meV per atom. The value obtained for the formation enthalpy at 0 K is 0.35 eV/atom. The value obtained for the total magnetization is 0.01 μB/f.u. For the final energy, the calculation gives -8.48 eV per formula unit.

The structure belongs to space group F-43m (No. 216); the cell edges are 9.589, 9.589 and 9.589 Å and the angles 90.00°, 90.00° and 90.00°. The inequivalent atoms are K at (0.000, 0.000, 0.000), Ba at (0.000, 0.000, 0.500), Ba at (0.250, 0.250, 0.750) and La at (0.250, 0.250, 0.250).

Record 21
VASP calculation (PBE) on a relaxed SrAu2N crystal.

For the energy relative to the elements, uncorrected, the calculation gives 0.20 eV per atom. The value obtained for the total magnetization is 0.00 μB/f.u. For the final energy, the calculation gives -15.77 eV per formula unit.

The structure belongs to space group I-42d (No. 122); the cell edges are 5.723, 5.723 and 12.028 Å and the angles 90.00°, 90.00° and 90.00°. The inequivalent atoms are Sr at (0.000, 0.000, 0.000), Au at (0.001, 0.750, 0.625) and N at (0.000, 0.000, 0.500).

Record 22
VASP calculation (PBE) on a relaxed NaNb4Rh2 crystal.

The value obtained for the formation enthalpy at 0 K is 1.35 eV/atom. The value obtained for the total magnetization is 0.00 μB/f.u. For the final energy, the calculation gives -46.83 eV per formula unit.

The structure belongs to space group I4/mmm (No. 139); the cell edges are 4.592, 4.592 and 13.164 Å and the angles 90.00°, 90.00° and 90.00°. The inequivalent atoms are Na at (0.000, 0.000, 0.000), Nb at (0.000, 0.000, 0.204), Nb at (0.000, 0.500, 0.000) and Rh at (0.000, 0.000, 0.386).

Record 23
VASP calculation (PBE) on a relaxed LaAl3Ga2 crystal.

The value obtained for the formation enthalpy at 0 K is -0.34 eV/atom. The value obtained for the total magnetization is 0.00 μB/f.u. For the final energy, the calculation gives -24.28 eV per formula unit.

The structure belongs to space group C2/m (No. 12); the cell edges are 16.062, 4.314 and 8.222 Å and the angles 90.00°, 120.41° and 90.00°. The inequivalent atoms are La at (0.152, 0.000, 0.067), Al at (0.039, 0.000, 0.364), Al at (0.087, 0.500, 0.676), Al at (0.193, 0.500, 0.457), Ga at (0.022, 0.500, 0.165) and Ga at (0.189, 0.000, 0.703).

Record 24
VASP calculation (PBE) on a relaxed LaNbPd2 crystal.

The calculation puts the polymorph energy (0 for the lowest one) at 351 meV per atom. The value obtained for the formation enthalpy at 0 K is 0.20 eV/atom. The value obtained for the total magnetization is 0.00 μB/f.u. For the final energy, the calculation gives -24.59 eV per formula unit.

The structure belongs to space group I-42d (No. 122); the cell edges are 4.947, 4.947 and 16.996 Å and the angles 90.00°, 90.00° and 90.00°. The inequivalent atoms are La at (0.000, 0.000, 0.000), Nb at (0.000, 0.000, 0.500) and Pd at (0.112, 0.250, 0.625).

Record 25
VASP calculation (PBE) on a relaxed ZrPdCl2 crystal.

For the energy relative to the elements, uncorrected, the calculation gives -0.32 eV per atom. The calculation puts the polymorph energy (0 for the lowest one) at 460 meV per atom. The value obtained for the total magnetization is 0.00 μB/f.u. For the final energy, the calculation gives -18.71 eV per formula unit.

The structure belongs to space group I-42d (No. 122); the cell edges are 7.170, 7.170 and 6.238 Å and the angles 90.00°, 90.00° and 90.00°. The inequivalent atoms are Zr at (0.000, 0.000, 0.000), Pd at (0.000, 0.000, 0.500) and Cl at (0.232, 0.750, 0.125).